[1]
{
  "formula": "FeBiAs2C",
  "functional": "PBE",
  "state": "relaxed",
  "energy_ev_per_atom": -5.340,
  "ef_ev_per_atom": 0.833,
  "dos_ef_per_ev_fu": 3.10,
  "density_g_cm3": 8.167,
  "space_group": "P4/mmm, No. 123",
  "cell": [[4.839, 0.000, 0.000], [0.000, 3.704, 0.000], [0.000, 0.000, 4.839]],
  "species": ["As", "As", "C", "Fe", "Bi"],
  "frac_coords": [[0.500, 0.000, 0.000], [0.000, 0.000, 0.500], [0.000, 0.000, 0.000], [0.000, 0.500, 0.000], [0.500, 0.500, 0.500]]
}

=====

[2]
{
  "formula": "Ho5Bi2AsC",
  "functional": "PBE",
  "state": "relaxed",
  "energy_ev_per_atom": -5.675,
  "ef_ev_per_atom": -0.728,
  "dos_ef_per_ev_fu": 6.65,
  "density_g_cm3": 9.310,
  "space_group": "P4/mmm, No. 123",
  "cell": [[4.646, 0.000, 0.000], [0.000, 4.646, 0.000], [0.000, 0.000, 10.988]],
  "species": ["Ho", "Ho", "Ho", "Ho", "Ho", "C", "As", "Bi", "Bi"],
  "frac_coords": [[0.500, 0.000, 0.500], [0.000, 0.000, 0.743], [0.000, 0.000, 0.257], [0.500, 0.500, 0.000], [0.000, 0.500, 0.500], [0.000, 0.000, 0.500], [0.000, 0.000, 0.000], [0.500, 0.500, 0.714], [0.500, 0.500, 0.286]]
}

=====

[3]
{
  "formula": "KBiAsC2",
  "functional": "PBE",
  "state": "relaxed",
  "energy_ev_per_atom": -3.521,
  "ef_ev_per_atom": 2.094,
  "dos_ef_per_ev_fu": 3.74,
  "density_g_cm3": 4.471,
  "space_group": "P4/mmm, No. 123",
  "cell": [[-3.002, -1.743, -3.288], [-3.464, -1.746, 4.089], [-2.283, 4.199, -0.141]],
  "species": ["C", "C", "K", "As", "Bi"],
  "frac_coords": [[0.500, 0.000, 0.000], [0.000, 0.000, 0.500], [0.500, 0.500, 0.500], [0.000, 0.500, 0.000], [0.000, 0.000, 0.000]]
}

=====

[4]
{
  "formula": "Li2BiAsCO7",
  "functional": "PBE",
  "state": "relaxed",
  "energy_ev_per_atom": -6.237,
  "dos_ef_per_ev_fu": 0.00,
  "e_form_raw_ev_per_atom": -1.546,
  "density_g_cm3": 4.044,
  "space_group": "P2_1/m, No. 11",
  "cell": [[7.146, 0.000, 0.000], [0.000, 5.135, -0.019], [0.000, 0.013, 9.439]],
  "species": ["O", "O", "O", "O", "O", "O", "O", "O", "O", "O", "O", "O", "O", "O", "Li", "Li", "Li", "Li", "As", "As", "Bi", "Bi", "C", "C"],
  "frac_coords": [[0.250, 0.975, 0.160], [0.941, 0.120, 0.313], [0.750, 0.812, 0.050], [0.250, 0.729, 0.439], [0.750, 0.271, 0.561], [0.059, 0.880, 0.687], [0.441, 0.880, 0.687], [0.750, 0.607, 0.330], [0.250, 0.393, 0.670], [0.559, 0.120, 0.313], [0.250, 0.188, 0.950], [0.250, 0.410, 0.158], [0.750, 0.025, 0.840], [0.750, 0.590, 0.842], [0.056, 0.209, 0.800], [0.944, 0.791, 0.200], [0.444, 0.209, 0.800], [0.556, 0.791, 0.200], [0.750, 0.288, 0.377], [0.250, 0.712, 0.623], [0.250, 0.194, 0.372], [0.750, 0.806, 0.628], [0.250, 0.194, 0.084], [0.750, 0.806, 0.916]]
}

=====

[5]
{
  "formula": "Na4Bi2AsC4O16",
  "functional": "PBE",
  "state": "relaxed",
  "energy_ev_per_atom": -6.348,
  "dos_ef_per_ev_fu": 9.00,
  "e_form_raw_ev_per_atom": -1.388,
  "density_g_cm3": 3.573,
  "space_group": "Fddd, No. 70",
  "cell": [[-1.060, 8.634, -5.460], [-8.054, -4.295, -4.708], [-0.208, 0.728, 10.591]],
  "species": ["Bi", "Bi", "Bi", "Bi", "Na", "Na", "Na", "Na", "Na", "Na", "Na", "Na", "O", "O", "O", "O", "O", "O", "O", "O", "O", "O", "O", "O", "O", "O", "O", "O", "O", "O", "O", "O", "O", "O", "O", "O", "O", "O", "O", "O", "O", "O", "O", "O", "C", "C", "C", "C", "C", "C", "C", "C", "As", "As"],
  "frac_coords": [[0.125, 0.875, 0.750], [0.125, 0.375, 0.250], [0.625, 0.875, 0.750], [0.125, 0.875, 0.250], [0.707, 0.707, 0.000], [0.543, 0.043, 0.500], [0.955, 0.045, 0.500], [0.295, 0.705, 0.000], [0.545, 0.455, 0.500], [0.957, 0.457, 0.500], [0.705, 0.295, 0.000], [0.293, 0.293, 0.000], [0.779, 0.709, 0.709], [0.466, 0.651, 0.687], [0.930, 0.000, 0.709], [0.767, 0.962, 0.043], [0.483, 0.788, 0.457], [0.276, 0.081, 0.043], [0.250, 0.680, 0.209], [0.331, 0.026, 0.543], [0.000, 0.070, 0.291], [0.584, 0.442, 0.883], [0.038, 0.233, 0.957], [0.691, 0.049, 0.383], [0.666, 0.308, 0.617], [0.299, 0.441, 0.883], [0.959, 0.529, 0.209], [0.692, 0.334, 0.383], [0.212, 0.517, 0.543], [0.558, 0.416, 0.117], [0.951, 0.309, 0.617], [0.784, 0.099, 0.813], [0.291, 0.221, 0.291], [0.974, 0.669, 0.457], [0.901, 0.216, 0.187], [0.964, 0.779, 0.313], [0.349, 0.534, 0.313], [0.919, 0.724, 0.957], [0.559, 0.701, 0.117], [0.320, 0.750, 0.791], [0.286, 0.971, 0.187], [0.029, 0.714, 0.813], [0.471, 0.041, 0.791], [0.221, 0.036, 0.687], [0.909, 0.716, 0.827], [0.332, 0.639, 0.673], [0.966, 0.659, 0.327], [0.918, 0.111, 0.827], [0.889, 0.082, 0.173], [0.361, 0.668, 0.327], [0.284, 0.091, 0.173], [0.341, 0.034, 0.673], [0.500, 0.500, 0.000], [0.750, 0.250, 0.500]]
}

=====

[6]
{
  "formula": "Na3BiAsCO7",
  "functional": "PBE",
  "state": "relaxed",
  "energy_ev_per_atom": -5.816,
  "dos_ef_per_ev_fu": 0.03,
  "e_form_raw_ev_per_atom": -1.476,
  "density_g_cm3": 4.200,
  "space_group": "P2_1/m, No. 11",
  "cell": [[7.423, 0.000, 0.000], [0.000, 5.140, -0.009], [0.000, 0.118, 9.884]],
  "species": ["O", "O", "O", "O", "O", "O", "O", "O", "O", "O", "O", "O", "O", "O", "Bi", "Bi", "Na", "Na", "Na", "Na", "Na", "Na", "C", "C", "As", "As"],
  "frac_coords": [[0.250, 0.499, 0.889], [0.250, 0.061, 0.887], [0.250, 0.271, 0.086], [0.250, 0.379, 0.420], [0.250, 0.815, 0.611], [0.062, 0.774, 0.288], [0.562, 0.226, 0.712], [0.750, 0.185, 0.389], [0.750, 0.729, 0.914], [0.438, 0.774, 0.288], [0.750, 0.621, 0.580], [0.750, 0.501, 0.111], [0.750, 0.939, 0.113], [0.938, 0.226, 0.712], [0.250, 0.237, 0.655], [0.750, 0.763, 0.345], [0.484, 0.260, 0.247], [0.516, 0.740, 0.753], [0.250, 0.776, 0.083], [0.984, 0.740, 0.753], [0.750, 0.224, 0.917], [0.016, 0.260, 0.247], [0.750, 0.721, 0.045], [0.250, 0.279, 0.955], [0.750, 0.276, 0.597], [0.250, 0.724, 0.403]]
}

=====

What did the fifth record say?
{
  "formula": "Na4Bi2AsC4O16",
  "functional": "PBE",
  "state": "relaxed",
  "energy_ev_per_atom": -6.348,
  "dos_ef_per_ev_fu": 9.00,
  "e_form_raw_ev_per_atom": -1.388,
  "density_g_cm3": 3.573,
  "space_group": "Fddd, No. 70",
  "cell": [[-1.060, 8.634, -5.460], [-8.054, -4.295, -4.708], [-0.208, 0.728, 10.591]],
  "species": ["Bi", "Bi", "Bi", "Bi", "Na", "Na", "Na", "Na", "Na", "Na", "Na", "Na", "O", "O", "O", "O", "O", "O", "O", "O", "O", "O", "O", "O", "O", "O", "O", "O", "O", "O", "O", "O", "O", "O", "O", "O", "O", "O", "O", "O", "O", "O", "O", "O", "C", "C", "C", "C", "C", "C", "C", "C", "As", "As"],
  "frac_coords": [[0.125, 0.875, 0.750], [0.125, 0.375, 0.250], [0.625, 0.875, 0.750], [0.125, 0.875, 0.250], [0.707, 0.707, 0.000], [0.543, 0.043, 0.500], [0.955, 0.045, 0.500], [0.295, 0.705, 0.000], [0.545, 0.455, 0.500], [0.957, 0.457, 0.500], [0.705, 0.295, 0.000], [0.293, 0.293, 0.000], [0.779, 0.709, 0.709], [0.466, 0.651, 0.687], [0.930, 0.000, 0.709], [0.767, 0.962, 0.043], [0.483, 0.788, 0.457], [0.276, 0.081, 0.043], [0.250, 0.680, 0.209], [0.331, 0.026, 0.543], [0.000, 0.070, 0.291], [0.584, 0.442, 0.883], [0.038, 0.233, 0.957], [0.691, 0.049, 0.383], [0.666, 0.308, 0.617], [0.299, 0.441, 0.883], [0.959, 0.529, 0.209], [0.692, 0.334, 0.383], [0.212, 0.517, 0.543], [0.558, 0.416, 0.117], [0.951, 0.309, 0.617], [0.784, 0.099, 0.813], [0.291, 0.221, 0.291], [0.974, 0.669, 0.457], [0.901, 0.216, 0.187], [0.964, 0.779, 0.313], [0.349, 0.534, 0.313], [0.919, 0.724, 0.957], [0.559, 0.701, 0.117], [0.320, 0.750, 0.791], [0.286, 0.971, 0.187], [0.029, 0.714, 0.813], [0.471, 0.041, 0.791], [0.221, 0.036, 0.687], [0.909, 0.716, 0.827], [0.332, 0.639, 0.673], [0.966, 0.659, 0.327], [0.918, 0.111, 0.827], [0.889, 0.082, 0.173], [0.361, 0.668, 0.327], [0.284, 0.091, 0.173], [0.341, 0.034, 0.673], [0.500, 0.500, 0.000], [0.750, 0.250, 0.500]]
}

=====

> Which formula does entry 6 have?

Na3BiAsCO7